Entry from Alexandria via LeMat-Bulk: a crystal of Ca2TcTe relaxed with PBEsol (SCAN).

Lattice parameters (Å, degrees): 4.366 4.366 5.835 111.97 111.97 90.00
Element x y z (fractional)
Ca (0.000, 0.000, 0.000)
Ca (0.750, 0.250, 0.500)
Te (0.250, 0.750, 0.500)
Tc (0.500, 0.500, 0.000)

Computed properties:
Space-group type ... No. 119
Uncorrected formation energy ... -0.003 eV per atom
Energy ... -91.649 eV per formula unit



Entry from Alexandria via LeMat-Bulk: a crystal of LuGa relaxed with PBEsol (SCAN).

Lattice parameters (Å, degrees): 3.926 4.173 5.637 68.28 90.00 90.00
Element x y z (fractional)
Lu (0.250, 0.860, 0.280)
Lu (0.750, 0.140, 0.720)
Ga (0.250, 0.578, 0.843)
Ga (0.750, 0.422, 0.157)

Computed properties:
Space-group type ... No. 63
Energy of formation from the pure elements ... -706 meV per atom
Energy ... -73.102 eV per formula unit



Entry from Alexandria via LeMat-Bulk: a crystal of HfCoNO2 relaxed with PBEsol (SCAN).

Lattice parameters (Å, degrees): 3.566 3.566 3.671 90.00 90.00 90.00
Element x y z (fractional)
Co (0.000, 0.000, 0.000)
Hf (0.500, 0.500, 0.500)
O (0.000, 0.500, 0.000)
O (0.500, 0.000, 0.000)
N (0.000, 0.000, 0.500)

Computed properties:
Space-group type ... No. 123
Uncorrected formation energy ... -1.280 eV per atom
Energy ... -108.129 eV per formula unit



Entry from Alexandria via LeMat-Bulk: a crystal of LiCa5 relaxed with PBEsol (SCAN).

Lattice parameters (Å, degrees): 4.213 5.999 9.168 90.00 103.28 90.00
Element x y z (fractional)
Ca (0.970, 0.000, 0.939)
Ca (0.307, 0.000, 0.614)
Ca (0.639, 0.000, 0.277)
Ca (0.482, 0.500, 0.963)
Ca (0.797, 0.500, 0.594)
Li (0.139, 0.500, 0.279)

Computed properties:
Space-group type ... No. 38
Energy of formation from the pure elements ... 39 meV per atom
Energy ... -50.473 eV per formula unit



Entry from Alexandria via LeMat-Bulk: a crystal of CoCuBr2 relaxed with PBEsol (SCAN).

Lattice parameters (Å, degrees): 3.514 3.481 6.508 90.00 90.00 90.00
Element x y z (fractional)
Co (0.500, 0.500, 0.000)
Cu (0.500, 0.000, 0.500)
Br (0.000, 0.000, 0.000)
Br (0.000, 0.500, 0.500)

Computed properties:
Space-group type ... No. 47
Uncorrected formation energy ... 0.244 eV per atom
Energy ... -70.445 eV per formula unit



Entry from Alexandria via LeMat-Bulk: a crystal of CoSiW2 relaxed with PBEsol (SCAN).

Lattice parameters (Å, degrees): 3.113 3.113 5.549 90.00 90.00 90.00
Element x y z (fractional)
Co (0.000, 0.000, 0.509)
Si (0.500, 0.500, 0.737)
W (0.000, 0.000, 0.988)
W (0.500, 0.500, 0.266)

Computed properties:
Space-group type ... No. 99
Uncorrected formation energy ... 0.125 eV per atom
Energy ... -166.198 eV per formula unit



Q: Look up the energy of the third one.
A: -108.129 eV per formula unit



Q: What is the formula in the second record?
A: LuGa